Entry 1:
The following is a PBE calculation of a relaxed structure of CoCu4NiGe2, from the Open Quantum Materials Database.

The space group is P4/mmm (No. 123) and the conventional cell measures 4.1089, 4.1089 and 5.8169 Å, with angles of 90.00, 90.00 and 90.00 degrees. The distinct sites, in fractional coordinates, are Co at (0.0000, 0.0000, 0.0000), Cu at (0.0000, 0.5000, 0.2506), Ni at (0.5000, 0.5000, 0.5000), Ge at (0.0000, 0.0000, 0.5000) and Ge at (0.5000, 0.5000, 0.0000).

Its crystal system is tetragonal. As for the total energy: -0.330 Ry per atom. Its calculated volume is 98 Å³/cell. As for the spin magnetization: 0.01 μB/cell.

***

Entry 2:
The following is a PBE calculation of a relaxed structure of FeNiHgAs, from the Open Quantum Materials Database.

The space group is F-43m (No. 216) and the conventional cell measures 6.2129, 6.2129 and 6.2129 Å, with angles of 90.00, 90.00 and 90.00 degrees. The distinct sites, in fractional coordinates, are Fe at (0.0000, 0.0000, 0.0000), Ni at (0.0000, 0.0000, 0.5000), Hg at (0.2500, 0.2500, 0.2500) and As at (0.2500, 0.2500, 0.7500).

Its crystal system is cubic. The value obtained for the offset from the most stable computed form is 0.000 eV/atom. As for the total energy: -0.323 Ry per atom. Its calculated volume is 240 Å³/cell. As for the spin magnetization: 9.02 μB/cell.

***

Entry 3:
The following is a PBE calculation of a relaxed structure of YNiB4, from the Open Quantum Materials Database.

The space group is P6/mmm (No. 191) and the conventional cell measures 3.1901, 3.1901 and 6.4799 Å, with angles of 90.00, 90.00 and 120.00 degrees. The distinct sites, in fractional coordinates, are Y at (0.0000, 0.0000, 0.0000), Ni at (0.0000, 0.0000, 0.5000) and B at (0.3333, 0.6667, 0.2949).

Its crystal system is hexagonal. The value obtained for the offset from the most stable computed form is 0.293 eV/atom. As for the total energy: -0.495 Ry per atom. Its calculated volume is 57 Å³/cell. As for the spin magnetization: 0.00 μB/cell.

***

Entry 4:
The following is a PBE calculation of a relaxed structure of TmLuTlC, from the Open Quantum Materials Database.

The space group is P6_3mc (No. 186) and the conventional cell measures 3.5433, 3.5433 and 15.9653 Å, with angles of 90.00, 90.00 and 120.00 degrees. The distinct sites, in fractional coordinates, are Tm at (0.3333, 0.6667, 0.0000), Lu at (0.3333, 0.6667, 0.6646), Tl at (0.3333, 0.6667, 0.3317) and C at (0.0000, 0.0000, 0.0829).

Its crystal system is hexagonal. As for the total energy: -0.410 Ry per atom. Its calculated volume is 174 Å³/cell. As for the spin magnetization: 0.11 μB/cell.

***

Entry 5:
The following is a PBE calculation of a relaxed structure of LuHfAlNi, from the Open Quantum Materials Database.

The space group is F-43m (No. 216) and the conventional cell measures 6.6832, 6.6832 and 6.6832 Å, with angles of 90.00, 90.00 and 90.00 degrees. The distinct sites, in fractional coordinates, are Lu at (0.0000, 0.0000, 0.0000), Hf at (0.2500, 0.2500, 0.2500), Al at (0.0000, 0.0000, 0.5000) and Ni at (0.2500, 0.2500, 0.7500).

Its crystal system is cubic. The value obtained for the offset from the most stable computed form is 0.000 eV/atom. As for the total energy: -0.434 Ry per atom. Its calculated volume is 299 Å³/cell. As for the spin magnetization: 0.00 μB/cell.

***

Entry 6:
The following is a PBE calculation of a relaxed structure of NiS, from the Open Quantum Materials Database.

The space group is P6_3/mmc (No. 194) and the conventional cell measures 3.1415, 3.1415 and 6.2164 Å, with angles of 90.00, 90.00 and 120.00 degrees. The distinct sites, in fractional coordinates, are Ni at (0.3333, 0.6667, 0.2500) and S at (0.0000, 0.0000, 0.0000).

Its crystal system is hexagonal. As for the total energy: -0.359 Ry per atom. Its calculated volume is 53 Å³/cell. As for the spin magnetization: 0.00 μB/cell.

***

Entry 7:
The following is a PBE calculation of a relaxed structure of Sc2Bi3W4N3, from the Open Quantum Materials Database.

The space group is C2/c (No. 15) and the conventional cell measures 9.8738, 5.7537 and 14.8158 Å, with angles of 90.00, 90.32 and 90.00 degrees. The distinct sites, in fractional coordinates, are Sc at (0.0862, 0.0849, 0.4134), Bi at (0.0000, 0.3798, 0.2500), Bi at (0.1667, 0.1284, 0.7218), W at (0.0722, 0.4337, 0.5718), W at (0.2267, 0.4211, 0.9454), N at (0.0712, 0.2326, 0.0031) and N at (0.2500, 0.2500, 0.5000).

Its crystal system is monoclinic. As for the total energy: -0.629 Ry per atom. Its calculated volume is 842 Å³/cell. As for the spin magnetization: 0.04 μB/cell.

***

Entry 8:
The following is a PBE calculation of a relaxed structure of KWN2, from the Open Quantum Materials Database.

The space group is I-42d (No. 122) and the conventional cell measures 5.6858, 5.6858 and 9.0934 Å, with angles of 90.00, 90.00 and 90.00 degrees. The distinct sites, in fractional coordinates, are K at (0.0000, 0.0000, 0.0000), W at (0.0000, 0.0000, 0.5000) and N at (0.0979, 0.7500, 0.6250).

Its crystal system is tetragonal. As for the total energy: -0.595 Ry per atom. Its calculated volume is 294 Å³/cell. As for the spin magnetization: 0.00 μB/cell.

***

Entry 9:
The following is a PBE calculation of a relaxed structure of TbHoZn2Sn2, from the Open Quantum Materials Database.

The space group is P6_3/mmc (No. 194) and the conventional cell measures 4.5064, 4.5064 and 15.7793 Å, with angles of 90.00, 90.00 and 120.00 degrees. The distinct sites, in fractional coordinates, are Tb at (0.0000, 0.0000, 0.2500), Ho at (0.0000, 0.0000, 0.0000), Zn at (0.3333, 0.6667, 0.1600) and Sn at (0.3333, 0.6667, 0.6126).

Its crystal system is hexagonal. The value obtained for the offset from the most stable computed form is 0.005 eV/atom. As for the total energy: -0.285 Ry per atom. Its calculated volume is 278 Å³/cell. As for the spin magnetization: 0.01 μB/cell.

***

Entry 10:
The following is a PBE calculation of a relaxed structure of Gd2DyNi2C2N3, from the Open Quantum Materials Database.

The space group is I4/mmm (No. 139) and the conventional cell measures 3.4855, 3.4855 and 19.5852 Å, with angles of 90.00, 90.00 and 90.00 degrees. The distinct sites, in fractional coordinates, are Gd at (0.0000, 0.0000, 0.1261), Dy at (0.0000, 0.0000, 0.5000), Ni at (0.0000, 0.5000, 0.2500), C at (0.0000, 0.0000, 0.3096), N at (0.0000, 0.0000, 0.0000) and N at (0.0000, 0.0000, 0.3810).

Its crystal system is tetragonal. As for the total energy: -0.566 Ry per atom. Its calculated volume is 238 Å³/cell. As for the spin magnetization: 0.10 μB/cell.

***

Entry 11:
The following is a PBE calculation of a relaxed structure of La3Ga2Ni4, from the Open Quantum Materials Database.

The space group is C2/m (No. 12) and the conventional cell measures 10.0833, 4.2346 and 8.3858 Å, with angles of 90.00, 98.57 and 90.00 degrees. The distinct sites, in fractional coordinates, are La at (0.0000, 0.0000, 0.0000), La at (0.1234, 0.5000, 0.3806), Ga at (0.1810, 0.5000, 0.7870), Ni at (0.0871, 0.0000, 0.6376) and Ni at (0.2378, 0.5000, 0.0860).

Its crystal system is monoclinic. As for the total energy: -0.390 Ry per atom. Its calculated volume is 354 Å³/cell. As for the spin magnetization: 0.00 μB/cell.

***

Entry 12:
The following is a PBE calculation of a relaxed structure of FeSn, from the Open Quantum Materials Database.

The space group is F-43m (No. 216) and the conventional cell measures 5.7458, 5.7458 and 5.7458 Å, with angles of 90.00, 90.00 and 90.00 degrees. The distinct sites, in fractional coordinates, are Fe at (0.0000, 0.0000, 0.0000) and Sn at (0.2500, 0.2500, 0.7500).

Its crystal system is cubic. As for the total energy: -0.377 Ry per atom. Its calculated volume is 190 Å³/cell. As for the spin magnetization: 8.73 μB/cell.

***

Entry 13:
The following is a PBE calculation of a relaxed structure of TbY2Co3, from the Open Quantum Materials Database.

The space group is P6/mmm (No. 191) and the conventional cell measures 5.8636, 5.8636 and 3.9676 Å, with angles of 90.00, 90.00 and 120.00 degrees. The distinct sites, in fractional coordinates, are Tb at (0.0000, 0.0000, 0.0000), Y at (0.3333, 0.6667, 0.0000) and Co at (0.0000, 0.5000, 0.5000).

Its crystal system is hexagonal. As for the total energy: -0.461 Ry per atom. Its calculated volume is 118 Å³/cell. As for the spin magnetization: 0.00 μB/cell. As for the energy relative to the elements: 0.213 eV/atom.

***

Entry 14:
The following is a PBE calculation of a relaxed structure of DyTm2In3PdAu2, from the Open Quantum Materials Database.

The space group is Amm2 (No. 38) and the conventional cell measures 3.8783, 13.4205 and 7.7214 Å, with angles of 90.00, 90.00 and 90.00 degrees. The distinct sites, in fractional coordinates, are Dy at (0.0000, 0.0000, 0.0000), Tm at (0.0000, 0.2020, 0.3934), In at (0.5000, 0.0000, 0.3384), In at (0.5000, 0.1281, 0.7233), Pd at (0.0000, 0.0000, 0.5932) and Au at (0.5000, 0.1682, 0.0957).

Its crystal system is orthorhombic. As for the total energy: -0.331 Ry per atom. Its calculated volume is 402 Å³/cell. As for the spin magnetization: 0.02 μB/cell.

***

Entry 15:
The following is a PBE calculation of a relaxed structure of LiLaNbCo, from the Open Quantum Materials Database.

The space group is F-43m (No. 216) and the conventional cell measures 6.5238, 6.5238 and 6.5238 Å, with angles of 90.00, 90.00 and 90.00 degrees. The distinct sites, in fractional coordinates, are Li at (0.0000, 0.0000, 0.0000), La at (0.2500, 0.2500, 0.2500), Nb at (0.0000, 0.0000, 0.5000) and Co at (0.2500, 0.2500, 0.7500).

Its crystal system is cubic. The value obtained for the offset from the most stable computed form is 0.000 eV/atom. As for the total energy: -0.412 Ry per atom. Its calculated volume is 278 Å³/cell. As for the spin magnetization: 0.06 μB/cell.

***

Entry 16:
The following is a PBE calculation of a relaxed structure of BaAs2Ir, from the Open Quantum Materials Database.

The space group is F-43m (No. 216) and the conventional cell measures 7.1260, 7.1260 and 7.1260 Å, with angles of 90.00, 90.00 and 90.00 degrees. The distinct sites, in fractional coordinates, are Ba at (0.0000, 0.0000, 0.0000), As at (0.0000, 0.0000, 0.5000), As at (0.2500, 0.2500, 0.7500) and Ir at (0.2500, 0.2500, 0.2500).

Its crystal system is cubic. As for the total energy: -0.340 Ry per atom. Its calculated volume is 362 Å³/cell. As for the spin magnetization: 0.56 μB/cell.

***

Entry 17:
The following is a PBE calculation of a relaxed structure of ErFeNi3B, from the Open Quantum Materials Database.

The space group is P6/mmm (No. 191) and the conventional cell measures 4.9853, 4.9853 and 7.0063 Å, with angles of 90.00, 90.00 and 120.00 degrees. The distinct sites, in fractional coordinates, are Er at (0.0000, 0.0000, 0.0000), Er at (0.0000, 0.0000, 0.5000), Fe at (0.3333, 0.6667, 0.0000), Ni at (0.0000, 0.5000, 0.2925) and B at (0.3333, 0.6667, 0.5000).

Its crystal system is hexagonal. As for the total energy: -0.474 Ry per atom. Its calculated volume is 151 Å³/cell. As for the spin magnetization: 5.10 μB/cell.

***

Entry 18:
The following is a PBE calculation of a relaxed structure of SmHoFe2Ni6B2, from the Open Quantum Materials Database.

The space group is P6/mmm (No. 191) and the conventional cell measures 5.0343, 5.0343 and 7.0127 Å, with angles of 90.00, 90.00 and 120.00 degrees. The distinct sites, in fractional coordinates, are Sm at (0.0000, 0.0000, 0.0000), Ho at (0.0000, 0.0000, 0.5000), Fe at (0.3333, 0.6667, 0.0000), Ni at (0.0000, 0.5000, 0.2958) and B at (0.3333, 0.6667, 0.5000).

Its crystal system is hexagonal. The value obtained for the offset from the most stable computed form is 0.000 eV/atom. As for the total energy: -0.473 Ry per atom. Its calculated volume is 154 Å³/cell. As for the spin magnetization: 4.93 μB/cell.

***

Entry 19:
The following is a PBE calculation of a relaxed structure of Sr2CdO4, from the Open Quantum Materials Database.

The space group is Fd-3m (No. 227, origin choice 2) and the conventional cell measures 9.9908, 9.9908 and 9.9908 Å, with angles of 90.00, 90.00 and 90.00 degrees. The distinct sites, in fractional coordinates, are Sr at (0.0000, 0.0000, 0.0000), Cd at (0.1250, 0.1250, 0.6250) and O at (0.0025, 0.0025, 0.2475).

Its crystal system is cubic. As for the total energy: -0.364 Ry per atom. Its calculated volume is 997 Å³/cell.

***

Entry 20:
The following is a PBE calculation of a relaxed structure of WBr4, from the Open Quantum Materials Database.

The space group is P2/c (No. 13) and the conventional cell measures 6.7158, 7.7281 and 6.5315 Å, with angles of 90.00, 109.53 and 90.00 degrees. The distinct sites, in fractional coordinates, are W at (0.0000, 0.1405, 0.2500), Br at (0.2209, 0.1132, 0.9940) and Br at (0.2475, 0.3505, 0.4740).

Its crystal system is monoclinic. As for the total energy: -0.315 Ry per atom. Its calculated volume is 319 Å³/cell. As for the spin magnetization: 3.99 μB/cell.